## MnW2O7 (PBE+U)

Data for crystalline MnW2O7 at its relaxed geometry.

* VASP energy: -7.3618 eV/atom
* calculated density: 8.1 Mg/m³
* V: 110.1 Å³/f.u.

```
data_MnW2O7
_chemical_formula_sum 'Mn3 W6 O21'
_space_group_name_H-M_alt 'R -3 m'
_space_group_IT_number 166
_space_group_name_Hall '-R 3 2"'
_cell_length_a 3.6417
_cell_length_b 3.6417
_cell_length_c 28.7627
_cell_angle_alpha 90.00
_cell_angle_beta 90.00
_cell_angle_gamma 120.00
loop_
_atom_site_label
_atom_site_fract_x
_atom_site_fract_y
_atom_site_fract_z
_atom_site_occupancy
Mn1 0.0000 0.0000 0.0000 1
W1 0.0000 0.0000 0.4326 1
O1 0.0000 0.0000 0.0900 1
O2 0.0000 0.0000 0.2264 1
O3 0.0000 0.0000 0.3661 1
O4 0.0000 0.0000 0.5000 1
```